Entry 1:
ZrTaPt PBE-GGA relaxed; final energy = -9.278 eV per atom; E_form = -464 meV per atom; E above lowest polymorph = 25.7 meV/atom; ρ = 13.05 g/cm3
1.0
-4.5113 3.7765 -0.8663
-3.4725 -3.6886 2.0029
3.3557 0.7487 7.1968
Ta Pt Zr
4 4 4
direct
0.6358 0.3985 0.2129
0.3642 0.6015 0.7871
0.1358 0.1015 0.7129
0.8642 0.8985 0.2871
0.1778 0.3633 0.9938
0.8222 0.6367 0.0062
0.3222 0.8633 0.5062
0.6778 0.1367 0.4938
0.3062 0.8800 0.1166
0.8062 0.6200 0.6166
0.6938 0.1200 0.8834
0.1938 0.3800 0.3834



Entry 2:
Hf2H2Rh PBE-GGA relaxed; final energy = -7.281 eV per atom; E above lowest polymorph = 0.0 meV/atom; ρ = 12.30 g/cm3
1.0
5.9682 0.0000 0.0233
2.9841 4.3947 0.0122
3.0015 0.0016 4.7676
Hf H Rh
4 4 2
direct
0.5729 0.3538 0.2501
0.8251 0.8498 0.7501
0.1749 0.1502 0.2499
0.4271 0.6462 0.7499
0.4849 0.7515 0.0261
0.7363 0.2486 0.5261
0.5151 0.2485 0.9739
0.2637 0.7514 0.4739
0.8739 0.7525 0.2500
0.1261 0.2475 0.7500



Entry 3:
Sc5Bi3Se12 PBE-GGA relaxed; E_form (uncorrected) = -1011 meV per atom; final energy = -5.267 eV per atom; ρ = 5.31 g/cm3
1.0
-4.1569 -13.3945 -2.7650
1.8331 1.6086 14.0851
-9.9985 9.1330 -4.5776
Bi Sc Se
12 20 48
direct
0.7500 0.3750 0.1250
0.8750 0.7500 0.1250
0.3750 0.7500 0.6250
0.2500 0.1250 0.3750
0.8750 0.1250 0.2500
0.3750 0.6250 0.2500
0.6250 0.3750 0.7500
0.1250 0.8750 0.7500
0.7500 0.8750 0.6250
0.6250 0.2500 0.3750
0.1250 0.2500 0.8750
0.2500 0.6250 0.8750
0.1250 0.3750 0.2500
0.0000 0.5000 0.0000
0.0000 0.0000 0.0000
0.3750 0.2500 0.1250
0.5000 0.0000 0.5000
0.5000 0.5000 0.0000
0.1250 0.7500 0.3750
0.7500 0.1250 0.8750
0.7500 0.6250 0.3750
0.3750 0.1250 0.7500
0.6250 0.8750 0.2500
0.5000 0.5000 0.5000
0.5000 0.0000 0.0000
0.0000 0.0000 0.5000
0.2500 0.3750 0.6250
0.2500 0.8750 0.1250
0.0000 0.5000 0.5000
0.8750 0.2500 0.6250
0.6250 0.7500 0.8750
0.8750 0.6250 0.7500
0.7136 0.1247 0.0378
0.3242 0.5378 0.4131
0.9622 0.3753 0.2864
0.5378 0.2136 0.1247
0.5889 0.7136 0.6758
0.9622 0.5869 0.1758
0.3242 0.7864 0.4111
0.0869 0.9111 0.1247
0.5869 0.9622 0.6758
0.7136 0.5889 0.1758
0.7864 0.4622 0.3753
0.8242 0.9131 0.0378
0.1247 0.7136 0.5378
0.3753 0.4131 0.0889
0.0889 0.9131 0.3753
0.4111 0.1247 0.5869
0.0889 0.1758 0.2136
0.4622 0.6758 0.0869
0.8242 0.9111 0.2864
0.1247 0.4111 0.0869
0.3753 0.9622 0.7864
0.5869 0.6247 0.4111
0.9131 0.8242 0.5378
0.7864 0.3242 0.9111
0.4131 0.3753 0.5889
0.0869 0.1758 0.4622
0.2136 0.6758 0.0889
0.1758 0.0889 0.7136
0.6247 0.0378 0.2136
0.8753 0.5889 0.9131
0.5378 0.3242 0.9131
0.5889 0.8753 0.4131
0.9111 0.8242 0.7864
0.9111 0.0869 0.6247
0.8753 0.2864 0.4622
0.1758 0.0869 0.9622
0.6247 0.5869 0.9111
0.4131 0.0378 0.3242
0.2864 0.4111 0.8242
0.2136 0.5378 0.6247
0.9131 0.0889 0.8753
0.6758 0.2136 0.5889
0.4622 0.7864 0.8753
0.0378 0.4131 0.8242
0.4111 0.2864 0.3242
0.0378 0.6247 0.7136
0.6758 0.4622 0.5869
0.2864 0.8753 0.9622



Entry 4:
BaMg3Pt3 PBE-GGA relaxed; final energy = -3.936 eV per atom; E_form = -389 meV per atom; ρ = 7.15 g/cm3
1.0
7.1751 0.0000 0.0000
0.0000 7.1751 0.0000
0.0000 0.0000 7.1751
Mg Ba Pt
6 2 6
direct
0.0000 0.2500 0.5000
0.0000 0.7500 0.5000
0.5000 0.0000 0.7500
0.7500 0.5000 0.0000
0.5000 0.0000 0.2500
0.2500 0.5000 0.0000
0.5000 0.5000 0.5000
0.0000 0.0000 0.0000
0.2500 0.0000 0.5000
0.0000 0.5000 0.2500
0.5000 0.7500 0.0000
0.7500 0.0000 0.5000
0.0000 0.5000 0.7500
0.5000 0.2500 0.0000



Entry 5:
TcAgN2F PBE-GGA relaxed; E_form (uncorrected) = 1660 meV per atom; final energy = -4.688 eV per atom; E above lowest polymorph = 1515.9 meV/atom; ρ = 6.08 g/cm3
1.0
-0.4169 2.3676 3.3142
-0.8734 -3.3060 2.2519
4.0008 -0.4804 0.8465
N Tc Ag F
2 1 1 1
direct
0.0000 0.5000 0.0000
0.5000 0.0000 0.0000
0.5000 0.5000 0.5000
0.0000 0.0000 0.0000
0.0000 0.0000 0.5000



Entry 6:
LaReCl2 PBE-GGA relaxed; E_form (uncorrected) = -72 meV per atom; final energy = -5.339 eV per atom; E above lowest polymorph = 398.0 meV/atom; ρ = 5.03 g/cm3
1.0
7.5471 0.2118 -0.0373
4.7009 5.9081 0.0373
-5.6312 -4.0462 2.9871
Re Cl La
1 2 1
direct
0.2500 0.7500 0.5000
0.9079 0.9079 0.0000
0.5921 0.5921 0.0000
0.7500 0.2500 0.5000



Entry 7:
Ac2CdPb5 PBE-GGA relaxed; final energy = -3.861 eV per atom; E_form = -401 meV per atom; ρ = 10.47 g/cm3
1.0
-0.3298 -4.3277 2.6095
-1.8310 -3.4358 -5.9295
13.6352 -2.6517 -2.6741
Ac Cd Pb
4 2 10
direct
0.5000 0.7412 0.1282
0.5000 0.2588 0.8718
0.5000 0.7588 0.6282
0.5000 0.2412 0.3718
0.0000 0.5000 0.5000
0.0000 0.0000 0.0000
0.0000 0.0000 0.5000
0.0000 0.5000 0.0000
0.0000 0.9937 0.2472
0.0000 0.0063 0.7528
0.0000 0.5063 0.7472
0.0000 0.4937 0.2528
0.5000 0.7397 0.3792
0.5000 0.2603 0.6208
0.5000 0.7603 0.8792
0.5000 0.2397 0.1208



Entry 8:
Tb9NdEr2 PBE-GGA relaxed; final energy = -4.610 eV per atom; E_form = 21 meV per atom; E above lowest polymorph = 0.0 meV/atom; ρ = 8.27 g/cm3
1.0
5.0353 0.0000 0.0000
0.0000 5.0353 0.0000
0.0000 0.0000 15.1124
Tb Nd Er
9 1 2
direct
0.5000 0.5000 0.0000
0.5000 0.5000 0.3351
0.5000 0.5000 0.6649
0.5000 0.0000 0.1691
0.5000 0.0000 0.5000
0.5000 0.0000 0.8309
0.0000 0.5000 0.1691
0.0000 0.5000 0.5000
0.0000 0.5000 0.8309
0.0000 0.0000 0.0000
0.0000 0.0000 0.3345
0.0000 0.0000 0.6655



Entry 9:
Pr6Ho12Er PBE-GGA relaxed; final energy = -4.422 eV per atom; E_form = 219 meV per atom; E above lowest polymorph = 90.7 meV/atom; ρ = 7.70 g/cm3
1.0
-8.5338 -0.8982 1.7381
3.2007 -4.9076 6.5058
1.2527 7.9000 3.5602
Pr Ho Er
6 12 1
direct
0.9032 0.3430 0.9032
0.9032 0.9032 0.3430
0.3430 0.9032 0.9032
0.0968 0.0968 0.6570
0.0968 0.6570 0.0968
0.6570 0.0968 0.0968
0.7561 0.2439 0.5000
0.3553 0.0814 0.3553
0.3553 0.3553 0.0814
0.9186 0.6447 0.6447
0.6447 0.6447 0.9186
0.6447 0.9186 0.6447
0.5000 0.7561 0.2439
0.2439 0.5000 0.7561
0.2439 0.7561 0.5000
0.5000 0.2439 0.7561
0.7561 0.5000 0.2439
0.0814 0.3553 0.3553
0.0000 0.0000 0.0000



Entry 10:
La5Tm2Mg PBE-GGA relaxed; final energy = -4.397 eV per atom; E_form = 0 meV per atom; ρ = 6.50 g/cm3
1.0
7.0209 -0.5039 -2.0842
-4.0167 5.7733 -2.1039
0.1104 0.2171 6.8399
La Tm Mg
5 2 1
direct
0.2359 0.3189 0.4988
0.3290 0.7527 0.0001
0.8018 0.2264 0.0000
0.7371 0.8201 0.5011
0.3320 0.2254 0.0001
0.2242 0.8153 0.4845
0.7399 0.3309 0.5157
0.8231 0.7332 0.9998



Entry 11:
Ti4Co2Rh PBE-GGA relaxed; final energy = -7.928 eV per atom; E_form = -336 meV per atom; ρ = 6.52 g/cm3
1.0
-0.7939 2.9310 2.8535
-4.0735 -0.8327 -0.2781
0.5432 -4.1219 4.3849
Ti Co Rh
4 2 1
direct
0.5000 0.0000 0.2663
0.0000 0.5000 0.7337
0.5000 0.0000 0.7337
0.0000 0.5000 0.2663
0.0000 0.0000 0.0000
0.5000 0.5000 0.5000
0.5000 0.5000 0.0000



Entry 12:
RbSnHg2I PBE-GGA relaxed; E_form (uncorrected) = -288 meV per atom; final energy = -1.713 eV per atom; E above lowest polymorph = 61.5 meV/atom; ρ = 5.08 g/cm3
1.0
-0.7300 -1.6844 -5.3051
4.4275 -6.0373 1.3076
-4.5040 -2.9649 1.5612
I Hg Rb Sn
1 2 1 1
direct
0.5000 0.5000 0.5000
0.0000 0.0000 0.5000
0.5000 0.0000 0.0000
0.0000 0.5000 0.0000
0.0000 0.0000 0.0000



Entry 13:
DyHo4Tm5 PBE-GGA relaxed; final energy = -4.215 eV per atom; E_form = 312 meV per atom; E above lowest polymorph = 253.0 meV/atom; ρ = 8.78 g/cm3
1.0
6.2239 0.0000 0.0000
3.1119 7.1185 0.0000
3.1119 0.0000 7.1185
Dy Ho Tm
1 4 5
direct
0.2215 0.0000 0.0000
0.4026 0.3956 0.7023
0.7982 0.7023 0.6044
0.1048 0.2977 0.3956
0.5004 0.6044 0.2977
0.8065 0.3763 0.9114
0.1828 0.9114 0.6237
0.7178 0.0886 0.3763
0.0941 0.6237 0.0886
0.6817 0.0000 0.0000



Entry 14:
YTaCd2 PBE-GGA relaxed; final energy = -4.796 eV per atom; E_form = 240 meV per atom; E above lowest polymorph = 123.4 meV/atom; ρ = 9.26 g/cm3
1.0
3.7814 -3.0646 1.1693
0.1686 -2.1581 4.5136
-0.8133 -4.9183 0.4546
Y Cd Ta
1 2 1
direct
0.0000 0.0000 0.0000
0.2500 0.2500 0.2500
0.7500 0.7500 0.7500
0.5000 0.5000 0.5000



Entry 15:
Pm2YNi PBE-GGA relaxed; final energy = -5.319 eV per atom; E_form = 117 meV per atom; E above lowest polymorph = 319.9 meV/atom; ρ = 5.99 g/cm3
1.0
3.6579 0.0000 0.0000
1.8290 3.1678 0.0000
1.8290 1.0559 10.4751
Y Ni Pm
1 1 2
direct
0.0000 0.0000 0.0000
0.5000 0.5000 0.5000
0.1106 0.1106 0.6681
0.8894 0.8894 0.3319



Entry 16:
Pr2Sm2SiIr4 PBE-GGA relaxed; E_form (uncorrected) = -403 meV per atom; final energy = -7.055 eV per atom; ρ = 11.65 g/cm3
1.0
6.5233 -0.0702 -0.1013
-3.1928 5.6890 0.1013
-3.1928 -1.9039 5.3619
Pr Sm Si Ir
2 2 1 4
direct
0.5000 0.7500 0.2500
0.5000 0.2500 0.7500
0.0000 0.6881 0.6881
0.0000 0.3119 0.3119
0.0000 0.0000 0.0000
0.0000 0.7474 0.2526
0.4948 0.7474 0.7474
0.0000 0.2526 0.7474
0.5052 0.2526 0.2526



Entry 17:
MgMo2W PBE-GGA relaxed; final energy = -8.671 eV per atom; E_form = 381 meV per atom; ρ = 10.09 g/cm3
1.0
2.6433 0.0000 0.0000
0.0000 4.4852 0.0000
0.0000 0.0000 5.5516
Mg Mo W
1 2 1
direct
0.5000 0.5000 0.7500
0.0000 0.0000 0.9998
0.0000 0.0000 0.5002
0.5000 0.5000 0.2500



Entry 18:
Dy2ErIr PBE-GGA relaxed; final energy = -5.767 eV per atom; E_form = -110 meV per atom; E above lowest polymorph = 480.6 meV/atom; ρ = 9.09 g/cm3
1.0
-0.8979 3.0828 -1.8725
0.7739 0.2638 -3.6260
-9.3761 -2.9951 -4.1242
Ir Dy Er
1 2 1
direct
0.5000 0.5000 0.5000
0.1125 0.1125 0.6626
0.8875 0.8875 0.3374
0.0000 0.0000 0.0000



Entry 19:
La3GaPb PBE-GGA relaxed; final energy = -4.735 eV per atom; E_form = -432 meV per atom; E above lowest polymorph = 0.0 meV/atom; ρ = 7.55 g/cm3
1.0
-0.2652 3.1932 -1.6041
-1.5623 -10.4982 -4.6182
-7.8756 6.4801 6.1711
La Ga Pb
6 2 2
direct
0.9800 0.2467 0.5121
0.6979 0.4020 0.1062
0.9400 0.0539 0.1696
0.0200 0.7533 0.4879
0.0600 0.9461 0.8304
0.3021 0.5980 0.8938
0.0605 0.6027 0.6440
0.9395 0.3973 0.3560
0.1488 0.2057 0.7617
0.8512 0.7943 0.2383



Entry 20:
CrBr PBE-GGA relaxed; E_form (uncorrected) = -93 meV per atom; final energy = -5.741 eV per atom; ρ = 3.73 g/cm3
1.0
-2.0686 2.6218 -10.7074
7.3669 -7.7756 -3.3272
-2.7293 -2.5448 -0.0959
Cr Br
8 8
direct
0.4354 0.0707 0.0000
0.5646 0.9293 0.0000
0.9293 0.4354 0.0000
0.0707 0.5646 0.0000
0.9354 0.5707 0.5000
0.0646 0.4293 0.5000
0.4293 0.9354 0.5000
0.5707 0.0646 0.5000
0.2590 0.9356 0.0000
0.7410 0.0644 0.0000
0.0644 0.2590 0.0000
0.9356 0.7410 0.0000
0.7590 0.4356 0.5000
0.2410 0.5644 0.5000
0.5644 0.7590 0.5000
0.4356 0.2410 0.5000